Entry from Alexandria: an optimized crystal structure of La6Cd2Au (PBE).

a b c (Å): 6.533 8.452 12.333
angles (deg): 90.00 119.06 90.00
Positions (direct):
La1 0.095 0.151 0.461
La2 0.095 0.349 0.961
La3 0.344 0.706 0.451
La4 0.344 0.794 0.951
La5 0.401 0.042 0.263
La6 0.401 0.458 0.763
La7 0.599 0.542 0.237
La8 0.599 0.958 0.737
La9 0.656 0.206 0.049
La10 0.656 0.294 0.549
La11 0.905 0.651 0.039
La12 0.905 0.849 0.539
Cd1 0.150 0.113 0.764
Cd2 0.150 0.387 0.264
Cd3 0.850 0.613 0.736
Cd4 0.850 0.887 0.236
Au1 0.000 0.000 0.000
Au2 0.000 0.500 0.500

symmetry = P2_1/c
calculated volume = 33.1 Å³/atom
total moment = 0.0 Bohr magnetons per cell
polymorph energy (0 for the lowest one) = 0.090 eV/atom